# ZrRe2NiCl PBEsol relaxed
# DOS(E_F)	4.94	states/eV/cell
# SG	P4/mmm, No. 123
# raw formation energy	946	meV/atom
data_ZrRe2NiCl
_symmetry_space_group_name_H-M 'P 1'
_symmetry_Int_Tables_number 1
_cell_length_a 4.108
_cell_length_b 4.389
_cell_length_c 4.389
_cell_angle_alpha 90.00
_cell_angle_beta 90.00
_cell_angle_gamma 90.00
loop_
_symmetry_equiv_pos_as_xyz
'x,y,z'
loop_
_atom_site_label
_atom_site_type_symbol
_atom_site_fract_x
_atom_site_fract_y
_atom_site_fract_z
_atom_site_occupancy
Ni1 Ni 0.500 0.000 0.000 1
Re1 Re 0.000 0.000 0.500 1
Re2 Re 0.000 0.500 0.000 1
Cl1 Cl 0.000 0.000 0.000 1
Zr1 Zr 0.500 0.500 0.500 1

# Tc4Ag PBEsol relaxed
# DOS(E_F)	4.32	states/eV/cell
# SG	I4/m, No. 87
# E	-9.3783	eV per atom
data_Tc4Ag
_symmetry_space_group_name_H-M 'P 1'
_symmetry_Int_Tables_number 1
_cell_length_a 3.929
_cell_length_b 4.703
_cell_length_c 4.703
_cell_angle_alpha 79.95
_cell_angle_beta 65.31
_cell_angle_gamma 65.31
loop_
_symmetry_equiv_pos_as_xyz
'x,y,z'
loop_
_atom_site_label
_atom_site_type_symbol
_atom_site_fract_x
_atom_site_fract_y
_atom_site_fract_z
_atom_site_occupancy
Tc1 Tc 0.584 0.218 0.613 1
Tc2 Tc 0.416 0.782 0.387 1
Tc3 Tc 0.802 0.613 0.782 1
Tc4 Tc 0.198 0.387 0.218 1
Ag1 Ag 0.000 0.000 0.000 1

# ZrBeGa2Ru PBEsol relaxed
# DOS(E_F)	4.54	states/eV/cell
# SG	P4/mmm, No. 123
# E	-5.6162	eV per atom
data_ZrBeGa2Ru
_symmetry_space_group_name_H-M 'P 1'
_symmetry_Int_Tables_number 1
_cell_length_a 4.088
_cell_length_b 4.088
_cell_length_c 4.631
_cell_angle_alpha 90.00
_cell_angle_beta 90.00
_cell_angle_gamma 90.00
loop_
_symmetry_equiv_pos_as_xyz
'x,y,z'
loop_
_atom_site_label
_atom_site_type_symbol
_atom_site_fract_x
_atom_site_fract_y
_atom_site_fract_z
_atom_site_occupancy
Ru1 Ru 0.500 0.500 0.500 1
Ga1 Ga 0.000 0.500 0.000 1
Ga2 Ga 0.500 0.000 0.000 1
Zr1 Zr 0.000 0.000 0.500 1
Be1 Be 0.000 0.000 0.000 1

# FeNiIr PBEsol relaxed
# DOS(E_F)	4.64	states/eV/cell
# SG	Imm2, No. 44
# E	-8.3209	eV per atom
data_FeNiIr
_symmetry_space_group_name_H-M 'P 1'
_symmetry_Int_Tables_number 1
_cell_length_a 2.606
_cell_length_b 3.549
_cell_length_c 4.400
_cell_angle_alpha 113.78
_cell_angle_beta 107.22
_cell_angle_gamma 90.00
loop_
_symmetry_equiv_pos_as_xyz
'x,y,z'
loop_
_atom_site_label
_atom_site_type_symbol
_atom_site_fract_x
_atom_site_fract_y
_atom_site_fract_z
_atom_site_occupancy
Ni1 Ni 0.335 0.335 0.670 1
Ir1 Ir 0.665 0.665 0.331 1
Fe1 Fe 0.000 0.000 0.999 1

# BaGaGe2Ru PBEsol relaxed
# DOS(E_F)	7.69	states/eV/cell
# SG	P4/mmm, No. 123
# E	-4.0060	eV per atom
data_BaGaGe2Ru
_symmetry_space_group_name_H-M 'P 1'
_symmetry_Int_Tables_number 1
_cell_length_a 4.730
_cell_length_b 4.730
_cell_length_c 5.709
_cell_angle_alpha 90.00
_cell_angle_beta 90.00
_cell_angle_gamma 90.00
loop_
_symmetry_equiv_pos_as_xyz
'x,y,z'
loop_
_atom_site_label
_atom_site_type_symbol
_atom_site_fract_x
_atom_site_fract_y
_atom_site_fract_z
_atom_site_occupancy
Ba1 Ba 0.000 0.000 0.500 1
Ge1 Ge 0.000 0.500 0.000 1
Ge2 Ge 0.500 0.000 0.000 1
Ga1 Ga 0.000 0.000 0.000 1
Ru1 Ru 0.500 0.500 0.500 1

# BPdN2O PBEsol relaxed
# DOS(E_F)	3.52	states/eV/cell
# SG	P4/mmm, No. 123
# raw formation energy	2167	meV/atom
data_BPdN2O
_symmetry_space_group_name_H-M 'P 1'
_symmetry_Int_Tables_number 1
_cell_length_a 3.826
_cell_length_b 3.826
_cell_length_c 3.987
_cell_angle_alpha 90.00
_cell_angle_beta 90.00
_cell_angle_gamma 90.00
loop_
_symmetry_equiv_pos_as_xyz
'x,y,z'
loop_
_atom_site_label
_atom_site_type_symbol
_atom_site_fract_x
_atom_site_fract_y
_atom_site_fract_z
_atom_site_occupancy
B1 B 0.500 0.500 0.500 1
Pd1 Pd 0.000 0.000 0.000 1
O1 O 0.000 0.000 0.500 1
N1 N 0.000 0.500 0.000 1
N2 N 0.500 0.000 0.000 1

# YCu2W PBEsol relaxed
# DOS(E_F)	0.93	states/eV/cell
# SG	F-43m, No. 216
# E	-6.5750	eV per atom
data_YCu2W
_symmetry_space_group_name_H-M 'P 1'
_symmetry_Int_Tables_number 1
_cell_length_a 4.542
_cell_length_b 4.542
_cell_length_c 4.542
_cell_angle_alpha 60.00
_cell_angle_beta 60.00
_cell_angle_gamma 60.00
loop_
_symmetry_equiv_pos_as_xyz
'x,y,z'
loop_
_atom_site_label
_atom_site_type_symbol
_atom_site_fract_x
_atom_site_fract_y
_atom_site_fract_z
_atom_site_occupancy
Cu1 Cu 0.000 0.000 0.000 1
Cu2 Cu 0.250 0.250 0.250 1
Y1 Y 0.750 0.750 0.750 1
W1 W 0.500 0.500 0.500 1

# Ba2TeBr PBEsol relaxed
# DOS(E_F)	1.67	states/eV/cell
# SG	R-3m, No. 166
# raw formation energy	-1716	meV/atom
data_Ba2TeBr
_symmetry_space_group_name_H-M 'P 1'
_symmetry_Int_Tables_number 1
_cell_length_a 4.824
_cell_length_b 4.824
_cell_length_c 8.079
_cell_angle_alpha 72.63
_cell_angle_beta 72.63
_cell_angle_gamma 60.00
loop_
_symmetry_equiv_pos_as_xyz
'x,y,z'
loop_
_atom_site_label
_atom_site_type_symbol
_atom_site_fract_x
_atom_site_fract_y
_atom_site_fract_z
_atom_site_occupancy
Te1 Te 0.000 0.000 0.000 1
Ba1 Ba 0.249 0.249 0.252 1
Ba2 Ba 0.751 0.751 0.748 1
Br1 Br 0.500 0.500 0.500 1

# Zr3Tl2Cu2S8 PBEsol relaxed
# SG	C2/m, No. 12
# raw formation energy	-1146	meV/atom
data_Zr3Tl2Cu2S8
_symmetry_space_group_name_H-M 'P 1'
_symmetry_Int_Tables_number 1
_cell_length_a 3.655
_cell_length_b 7.240
_cell_length_c 12.759
_cell_angle_alpha 81.98
_cell_angle_beta 81.76
_cell_angle_gamma 75.38
loop_
_symmetry_equiv_pos_as_xyz
'x,y,z'
loop_
_atom_site_label
_atom_site_type_symbol
_atom_site_fract_x
_atom_site_fract_y
_atom_site_fract_z
_atom_site_occupancy
S1 S 0.521 0.306 0.652 1
S2 S 0.798 0.824 0.580 1
S3 S 0.855 0.099 0.190 1
S4 S 0.145 0.901 0.810 1
S5 S 0.395 0.254 0.956 1
S6 S 0.202 0.176 0.420 1
S7 S 0.605 0.746 0.044 1
S8 S 0.479 0.694 0.348 1
Tl1 Tl 0.831 0.538 0.801 1
Tl2 Tl 0.169 0.462 0.199 1
Zr1 Zr 0.157 0.066 0.620 1
Zr2 Zr 0.843 0.934 0.380 1
Zr3 Zr 0.000 0.000 0.000 1
Cu1 Cu 0.455 0.896 0.194 1
Cu2 Cu 0.545 0.104 0.806 1

# Ag2SbAu PBEsol relaxed
# DOS(E_F)	1.17	states/eV/cell
# SG	P4/mmm, No. 123
# raw formation energy	1	meV/atom
data_Ag2SbAu
_symmetry_space_group_name_H-M 'P 1'
_symmetry_Int_Tables_number 1
_cell_length_a 4.173
_cell_length_b 4.173
_cell_length_c 4.257
_cell_angle_alpha 90.00
_cell_angle_beta 90.00
_cell_angle_gamma 90.00
loop_
_symmetry_equiv_pos_as_xyz
'x,y,z'
loop_
_atom_site_label
_atom_site_type_symbol
_atom_site_fract_x
_atom_site_fract_y
_atom_site_fract_z
_atom_site_occupancy
Ag1 Ag 0.000 0.500 0.000 1
Ag2 Ag 0.500 0.000 0.000 1
Au1 Au 0.500 0.500 0.500 1
Sb1 Sb 0.000 0.000 0.500 1

# TaPAu2 PBEsol relaxed
# DOS(E_F)	1.64	states/eV/cell
# SG	Cmmm, No. 65
# E	-6.4376	eV per atom
data_TaPAu2
_symmetry_space_group_name_H-M 'P 1'
_symmetry_Int_Tables_number 1
_cell_length_a 2.934
_cell_length_b 5.092
_cell_length_c 5.092
_cell_angle_alpha 118.97
_cell_angle_beta 90.00
_cell_angle_gamma 90.00
loop_
_symmetry_equiv_pos_as_xyz
'x,y,z'
loop_
_atom_site_label
_atom_site_type_symbol
_atom_site_fract_x
_atom_site_fract_y
_atom_site_fract_z
_atom_site_occupancy
Au1 Au 0.000 0.000 0.500 1
Au2 Au 0.000 0.500 0.000 1
Ta1 Ta 0.500 0.500 0.500 1
P1 P 0.500 0.000 0.000 1

# MgGa PBEsol relaxed
# DOS(E_F)	0.76	states/eV/cell
# SG	P4/mmm, No. 123
# E	-2.6755	eV per atom
data_MgGa
_symmetry_space_group_name_H-M 'P 1'
_symmetry_Int_Tables_number 1
_cell_length_a 3.070
_cell_length_b 3.070
_cell_length_c 3.932
_cell_angle_alpha 90.00
_cell_angle_beta 90.00
_cell_angle_gamma 90.00
loop_
_symmetry_equiv_pos_as_xyz
'x,y,z'
loop_
_atom_site_label
_atom_site_type_symbol
_atom_site_fract_x
_atom_site_fract_y
_atom_site_fract_z
_atom_site_occupancy
Mg1 Mg 0.500 0.500 0.500 1
Ga1 Ga 0.000 0.000 0.000 1